DFT (PBE) results for MnH3Pd after structural relaxation.

Computed properties:
D(E_F) ... 0.132 states/eV/atom
DFT total energy ... -23.62 eV for the cell shown
Mass density ... 6.33 Mg/m³

abc: 3.5060 3.5060 3.5060
angles: 90.00 90.00 90.00
Closest atoms and distances in Å follow each position.
Fractional coordinates of all 5 atoms:
Mn: 0.0000 0.0000 0.0000  12 H 2.48
H: 0.0000 0.5000 0.5000  2 Pd 1.75
H: 0.5000 0.0000 0.5000  2 Pd 1.75
H: 0.5000 0.5000 0.0000  2 Pd 1.75
Pd: 0.5000 0.5000 0.5000  6 H 1.75